Density functional theory data (PBE-GGA) for Er7TmTh3 after structural relaxation.

Cell lengths 6.8616, 5.4683, 10.0351 Å; angles 90.00, 109.62, 90.00 degrees
Last column: nearest neighbours and their distance in Å.
Atoms (fractional coordinates):
Er1 0.0000 0.0000 0.0000  4 Th 3.33
Er2 0.1389 0.5000 0.2928  3 Er 3.26-3.50, 2 Th 3.33-3.39
Er3 0.3267 0.5000 0.6378  5 Er 3.26-3.50, 2 Tm 3.45, 2 Th 3.51
Er4 0.4161 0.0000 0.8290  3 Er 3.23-3.28, 5 Th 3.52-3.57, 1 Tm 3.54
Er5 0.5839 0.0000 0.1710  3 Er 3.23-3.28, 5 Th 3.52-3.57, 1 Tm 3.54
Er6 0.6733 0.5000 0.3622  5 Er 3.26-3.50, 2 Tm 3.45, 2 Th 3.51
Er7 0.8611 0.5000 0.7072  3 Er 3.26-3.50, 2 Th 3.33-3.39
Tm1 0.5000 0.0000 0.5000  2 Th 3.43, 10 Er 3.45-3.81
Th1 0.0000 0.0000 0.5000  2 Tm 3.43, 10 Er 3.51-3.75
Th2 0.2767 0.5000 0.9983  1 Th 3.05, 4 Er 3.33-3.39
Th3 0.7233 0.5000 0.0017  1 Th 3.05, 4 Er 3.33-3.39

ΔH_f (0 K): 1.70 eV per formula unit
Symmetry: P2/m
Theoretical density: 9.532 g/cm³

***

Density functional theory data (PBE-GGA) for TaIn2Cl after structural relaxation.

Cell lengths 4.9830, 4.9830, 4.9830 Å; angles 60.00, 60.00, 60.00 degrees
Last column: nearest neighbours and their distance in Å.
Atoms (fractional coordinates):
Ta1 0.0000 0.0000 0.0000  4 In 3.05, 4 Cl 3.05
In1 0.5000 0.5000 0.5000  4 Cl 3.05, 4 In 3.05
In2 0.7500 0.7500 0.7500  4 In 3.05, 4 Ta 3.05
Cl1 0.2500 0.2500 0.2500  4 Ta 3.05, 4 In 3.05

Symmetry: F-43m
Theoretical density: 8.466 g/cm³
Formation energy (no corrections): 0.593 eV per atom

***

no.,M_tot (μB/f.u.),relative energy among the computed polymorphs (meV/atom)
1,0.00,0
2,2.05,820